DFT (PBE) results for crystalline Eu3Ga5Br12 at its relaxed geometry.

Computed properties:
total magnetic moment = 80.3 μB/cell
density = 4.13 g/cm3
formation energy without anion corrections = -1.12 eV per atom
space-group type = Ia-3d (230)
V = 2836.90 Å³/cell

a b c (Å): 15.446 15.446 15.446
angles (deg): 109.47 109.47 109.47
Fractional positions:
Eu (0.125, 0.250, 0.375)
Eu (0.125, 0.375, 0.750)
Eu (0.250, 0.375, 0.125)
Eu (0.250, 0.875, 0.625)
Eu (0.375, 0.125, 0.250)
Eu (0.375, 0.750, 0.125)
Eu (0.625, 0.250, 0.875)
Eu (0.625, 0.875, 0.750)
Eu (0.750, 0.125, 0.375)
Eu (0.750, 0.625, 0.875)
Eu (0.875, 0.625, 0.250)
Eu (0.875, 0.750, 0.625)
Ga (0.000, 0.000, 0.000)
Ga (0.000, 0.000, 0.500)
Ga (0.000, 0.500, 0.000)
Ga (0.000, 0.500, 0.500)
Ga (0.125, 0.750, 0.875)
Ga (0.125, 0.875, 0.250)
Ga (0.250, 0.125, 0.875)
Ga (0.250, 0.625, 0.375)
Ga (0.375, 0.250, 0.625)
Ga (0.375, 0.625, 0.750)
Ga (0.500, 0.000, 0.000)
Ga (0.500, 0.000, 0.500)
Ga (0.500, 0.500, 0.000)
Ga (0.500, 0.500, 0.500)
Ga (0.625, 0.375, 0.250)
Ga (0.625, 0.750, 0.375)
Ga (0.750, 0.375, 0.625)
Ga (0.750, 0.875, 0.125)
Ga (0.875, 0.125, 0.750)
Ga (0.875, 0.250, 0.125)
Br (0.055, 0.227, 0.133)
Br (0.055, 0.328, 0.921)
Br (0.079, 0.633, 0.406)
Br (0.079, 0.945, 0.672)
Br (0.094, 0.727, 0.672)
Br (0.094, 0.867, 0.421)
Br (0.133, 0.055, 0.227)
Br (0.133, 0.579, 0.906)
Br (0.172, 0.227, 0.594)
Br (0.172, 0.445, 0.579)
Br (0.227, 0.133, 0.055)
Br (0.227, 0.594, 0.172)
Br (0.273, 0.328, 0.906)
Br (0.273, 0.445, 0.367)
Br (0.328, 0.906, 0.273)
Br (0.328, 0.921, 0.055)
Br (0.367, 0.273, 0.445)
Br (0.367, 0.594, 0.921)
Br (0.406, 0.079, 0.633)
Br (0.406, 0.828, 0.773)
Br (0.421, 0.094, 0.867)
Br (0.421, 0.828, 0.555)
Br (0.445, 0.367, 0.273)
Br (0.445, 0.579, 0.172)
Br (0.555, 0.421, 0.828)
Br (0.555, 0.633, 0.727)
Br (0.579, 0.172, 0.445)
Br (0.579, 0.906, 0.133)
Br (0.594, 0.172, 0.227)
Br (0.594, 0.921, 0.367)
Br (0.633, 0.406, 0.079)
Br (0.633, 0.727, 0.555)
Br (0.672, 0.079, 0.945)
Br (0.672, 0.094, 0.727)
Br (0.727, 0.555, 0.633)
Br (0.727, 0.672, 0.094)
Br (0.773, 0.406, 0.828)
Br (0.773, 0.867, 0.945)
Br (0.828, 0.555, 0.421)
Br (0.828, 0.773, 0.406)
Br (0.867, 0.421, 0.094)
Br (0.867, 0.945, 0.773)
Br (0.906, 0.133, 0.579)
Br (0.906, 0.273, 0.328)
Br (0.921, 0.055, 0.328)
Br (0.921, 0.367, 0.594)
Br (0.945, 0.672, 0.079)
Br (0.945, 0.773, 0.867)

=====

DFT (PBE) results for crystalline Pr2ZnRu at its relaxed geometry.

Computed properties:
calculated formation energy = -0.190 eV per atom
total magnetic moment = 0.0 μB/cell
density = 7.75 g/cm3
relative energy among the computed polymorphs = 28.1 kJ/mol of formula units
space-group type = P4/mmm (123)
V = 96.11 Å³/cell

a b c (Å): 3.596 3.596 7.433
angles (deg): 90.00 90.00 90.00
Fractional positions:
Pr (0.000, 0.000, 0.234)
Pr (0.000, 0.000, 0.766)
Zn (0.500, 0.500, 0.500)
Ru (0.500, 0.500, 0.000)

=====

DFT (PBE) results for crystalline KBaTl at its relaxed geometry.

Computed properties:
calculated formation energy = -0.158 eV per atom
total magnetic moment = 0.0 μB/cell
density = 4.30 g/cm3
relative energy among the computed polymorphs = 21.1 kJ/mol of formula units
space-group type = I4mm (107)
V = 147.02 Å³/cell

a b c (Å): 8.251 8.251 8.251
angles (deg): 149.18 149.18 44.15
Fractional positions:
K (0.000, 0.000, 0.000)
Ba (0.266, 0.266, 0.000)
Tl (0.650, 0.650, 0.000)

=====

DFT (PBE) results for crystalline Nd3Tl5O12 at its relaxed geometry.

Computed properties:
total magnetic moment = 0.0 μB/cell
density = 8.54 g/cm3
formation energy without anion corrections = -1.64 eV per atom
space-group type = Ia-3d (230)
V = 1280.88 Å³/cell

a b c (Å): 11.850 11.850 11.850
angles (deg): 109.47 109.47 109.47
Fractional positions:
Nd (0.125, 0.250, 0.375)
Nd (0.125, 0.375, 0.750)
Nd (0.250, 0.375, 0.125)
Nd (0.250, 0.875, 0.625)
Nd (0.375, 0.125, 0.250)
Nd (0.375, 0.750, 0.125)
Nd (0.625, 0.250, 0.875)
Nd (0.625, 0.875, 0.750)
Nd (0.750, 0.125, 0.375)
Nd (0.750, 0.625, 0.875)
Nd (0.875, 0.625, 0.250)
Nd (0.875, 0.750, 0.625)
Tl (0.000, 0.000, 0.000)
Tl (0.000, 0.000, 0.500)
Tl (0.000, 0.500, 0.000)
Tl (0.000, 0.500, 0.500)
Tl (0.125, 0.750, 0.875)
Tl (0.125, 0.875, 0.250)
Tl (0.250, 0.125, 0.875)
Tl (0.250, 0.625, 0.375)
Tl (0.375, 0.250, 0.625)
Tl (0.375, 0.625, 0.750)
Tl (0.500, 0.000, 0.000)
Tl (0.500, 0.000, 0.500)
Tl (0.500, 0.500, 0.000)
Tl (0.500, 0.500, 0.500)
Tl (0.625, 0.375, 0.250)
Tl (0.625, 0.750, 0.375)
Tl (0.750, 0.375, 0.625)
Tl (0.750, 0.875, 0.125)
Tl (0.875, 0.125, 0.750)
Tl (0.875, 0.250, 0.125)
O (0.047, 0.219, 0.135)
O (0.047, 0.328, 0.912)
O (0.084, 0.719, 0.672)
O (0.084, 0.865, 0.412)
O (0.088, 0.635, 0.416)
O (0.088, 0.953, 0.672)
O (0.135, 0.047, 0.219)
O (0.135, 0.588, 0.916)
O (0.172, 0.219, 0.584)
O (0.172, 0.453, 0.588)
O (0.219, 0.135, 0.047)
O (0.219, 0.584, 0.172)
O (0.281, 0.328, 0.916)
O (0.281, 0.453, 0.365)
O (0.328, 0.912, 0.047)
O (0.328, 0.916, 0.281)
O (0.365, 0.281, 0.453)
O (0.365, 0.584, 0.912)
O (0.412, 0.084, 0.865)
O (0.412, 0.828, 0.547)
O (0.416, 0.088, 0.635)
O (0.416, 0.828, 0.781)
O (0.453, 0.365, 0.281)
O (0.453, 0.588, 0.172)
O (0.547, 0.412, 0.828)
O (0.547, 0.635, 0.719)
O (0.584, 0.172, 0.219)
O (0.584, 0.912, 0.365)
O (0.588, 0.172, 0.453)
O (0.588, 0.916, 0.135)
O (0.635, 0.416, 0.088)
O (0.635, 0.719, 0.547)
O (0.672, 0.084, 0.719)
O (0.672, 0.088, 0.953)
O (0.719, 0.547, 0.635)
O (0.719, 0.672, 0.084)
O (0.781, 0.416, 0.828)
O (0.781, 0.865, 0.953)
O (0.828, 0.547, 0.412)
O (0.828, 0.781, 0.416)
O (0.865, 0.412, 0.084)
O (0.865, 0.953, 0.781)
O (0.912, 0.047, 0.328)
O (0.912, 0.365, 0.584)
O (0.916, 0.135, 0.588)
O (0.916, 0.281, 0.328)
O (0.953, 0.672, 0.088)
O (0.953, 0.781, 0.865)

=====

DFT (PBE) results for crystalline YH6Pd3 at its relaxed geometry.

Computed properties:
total magnetic moment = 0.0 μB/cell
electronic total energy = -4.536 eV/atom
density = 7.33 g/cm3
space-group type = P1 (1)
V = 93.81 Å³/cell

a b c (Å): 4.922 4.924 5.290
angles (deg): 117.69 90.07 119.88
Fractional positions:
Y (0.000, 0.000, 0.000)
H (0.161, 0.624, 0.451)
H (0.459, 0.442, 0.943)
H (0.460, 0.289, 0.450)
H (0.502, 0.962, 0.945)
H (0.830, 0.989, 0.452)
H (0.982, 0.484, 0.942)
Pd (0.230, 0.459, 0.687)
Pd (0.555, 0.109, 0.663)
Pd (0.770, 0.542, 0.315)

=====

DFT (PBE) results for crystalline Tb5Ho6Sc2 at its relaxed geometry.

Computed properties:
calculated formation energy = 0.052 eV per atom
total magnetic moment = 0.0 μB/cell
density = 7.80 g/cm3
space-group type = Pbam (55)
V = 798.19 Å³/cell

a b c (Å): 11.213 20.089 3.543
angles (deg): 90.00 90.00 90.00
Fractional positions:
Tb (0.000, 0.000, 0.000)
Tb (0.062, 0.422, 0.000)
Tb (0.145, 0.721, 0.000)
Tb (0.355, 0.221, 0.000)
Tb (0.438, 0.922, 0.000)
Tb (0.500, 0.500, 0.000)
Tb (0.562, 0.078, 0.000)
Tb (0.645, 0.779, 0.000)
Tb (0.855, 0.279, 0.000)
Tb (0.938, 0.578, 0.000)
Ho (0.081, 0.155, 0.000)
Ho (0.166, 0.883, 0.500)
Ho (0.219, 0.555, 0.500)
Ho (0.281, 0.055, 0.500)
Ho (0.334, 0.383, 0.500)
Ho (0.419, 0.655, 0.000)
Ho (0.581, 0.345, 0.000)
Ho (0.666, 0.617, 0.500)
Ho (0.719, 0.945, 0.500)
Ho (0.781, 0.445, 0.500)
Ho (0.834, 0.117, 0.500)
Ho (0.919, 0.845, 0.000)
Sc (0.114, 0.286, 0.500)
Sc (0.386, 0.786, 0.500)
Sc (0.614, 0.214, 0.500)
Sc (0.886, 0.714, 0.500)

=====

DFT (PBE) results for crystalline WC2Br4 at its relaxed geometry.

Computed properties:
total magnetic moment = 1.3 μB/cell
density = 4.68 g/cm3
formation energy without anion corrections = 1.78 eV per atom
space-group type = I4/mmm (139)
V = 187.03 Å³/cell

a b c (Å): 8.000 8.000 8.000
angles (deg): 142.67 142.67 53.82
Fractional positions:
W (0.000, 0.000, 0.000)
C (0.311, 0.311, 0.000)
C (0.689, 0.689, 0.000)
Br (0.000, 0.500, 0.500)
Br (0.179, 0.179, 0.000)
Br (0.500, 0.000, 0.500)
Br (0.821, 0.821, 0.000)

=====

DFT (PBE) results for crystalline CaNi2MoSe at its relaxed geometry.

Computed properties:
total magnetic moment = 0.0 μB/cell
density = 5.34 g/cm3
formation energy without anion corrections = 0.16 eV per atom
space-group type = P4/mmm (123)
V = 103.33 Å³/cell

a b c (Å): 4.627 4.627 4.826
angles (deg): 90.00 90.00 90.00
Fractional positions:
Ca (0.000, 0.000, 0.000)
Ni (0.000, 0.500, 0.500)
Ni (0.500, 0.000, 0.500)
Mo (0.500, 0.500, 0.500)
Se (0.500, 0.500, 0.000)

=====

DFT (PBE) results for crystalline Mn2VReH at its relaxed geometry.

Computed properties:
total magnetic moment = 3.1 μB/cell
density = 10.86 g/cm3
relative energy among the computed polymorphs = 0.0 kJ/mol of formula units
space-group type = P4/mmm (123)
V = 53.20 Å³/cell

a b c (Å): 3.647 3.647 4.001
angles (deg): 90.00 90.00 90.00
Fractional positions:
Mn (0.000, 0.500, 0.000)
Mn (0.500, 0.000, 0.000)
V (0.000, 0.000, 0.500)
Re (0.500, 0.500, 0.500)
H (0.000, 0.000, 0.000)

=====

DFT (PBE) results for crystalline ScMn2Te at its relaxed geometry.

Computed properties:
total magnetic moment = 5.4 μB/cell
density = 6.74 g/cm3
formation energy without anion corrections = -0.01 eV per atom
space-group type = I-4m2 (119)
V = 69.60 Å³/cell

a b c (Å): 5.142 5.142 5.142
angles (deg): 133.82 133.82 67.36
Fractional positions:
Sc (0.000, 0.000, 0.000)
Mn (0.500, 0.500, 0.000)
Mn (0.750, 0.250, 0.500)
Te (0.250, 0.750, 0.500)

=====

DFT (PBE) results for crystalline TbPrSc2 at its relaxed geometry.

Computed properties:
calculated formation energy = 0.057 eV per atom
total magnetic moment = 0.0 μB/cell
density = 5.60 g/cm3
relative energy among the computed polymorphs = 0.2 kJ/mol of formula units
space-group type = P4/mmm (123)
V = 115.65 Å³/cell

a b c (Å): 5.009 5.009 4.609
angles (deg): 90.00 90.00 90.00
Fractional positions:
Tb (0.000, 0.000, 0.000)
Pr (0.500, 0.500, 0.000)
Sc (0.000, 0.500, 0.500)
Sc (0.500, 0.000, 0.500)

=====

DFT (PBE) results for crystalline IrOs3 at its relaxed geometry.

Computed properties:
calculated formation energy = 0.071 eV per atom
total magnetic moment = 0.0 μB/cell
density = 22.04 g/cm3
space-group type = Pmmn (59)
V = 344.81 Å³/cell

a b c (Å): 5.466 13.299 4.744
angles (deg): 90.00 90.00 90.00
Fractional positions:
Ir (0.250, 0.084, 0.166)
Ir (0.250, 0.416, 0.166)
Ir (0.250, 0.750, 0.503)
Ir (0.750, 0.250, 0.497)
Ir (0.750, 0.584, 0.834)
Ir (0.750, 0.916, 0.834)
Os (0.000, 0.250, 0.999)
Os (0.000, 0.750, 0.001)
Os (0.001, 0.086, 0.668)
Os (0.001, 0.414, 0.668)
Os (0.250, 0.250, 0.500)
Os (0.250, 0.585, 0.833)
Os (0.250, 0.915, 0.833)
Os (0.499, 0.086, 0.668)
Os (0.499, 0.414, 0.668)
Os (0.500, 0.250, 0.999)
Os (0.500, 0.750, 0.001)
Os (0.501, 0.586, 0.332)
Os (0.501, 0.914, 0.332)
Os (0.750, 0.085, 0.167)
Os (0.750, 0.415, 0.167)
Os (0.750, 0.750, 0.500)
Os (0.999, 0.586, 0.332)
Os (0.999, 0.914, 0.332)